DFT (GGA-PBE) results for an optimized crystal structure of Re2PdBr8.

Lattice parameters (Å, degrees): 8.208 8.208 6.071 90.17 90.17 84.39
Positions (direct):
Re 0.160 0.160 0.291
Re 0.840 0.840 0.709
Pd 0.000 0.000 0.000
Br 0.092 0.659 0.746
Br 0.149 0.149 0.693
Br 0.341 0.908 0.254
Br 0.344 0.344 0.170
Br 0.656 0.656 0.830
Br 0.659 0.092 0.746
Br 0.851 0.851 0.307
Br 0.908 0.341 0.254

Polymorph energy (0 for the lowest one): 91 meV/atom
E_tot: -3.9287 eV per atom
Formation energy without anion corrections: 0.02 eV per atom